No. 1
NiPd6Pt: optimized geometry, PBE.

extended XYZ file:
```
8
Lattice="3.914 0.000 0.000 0.000 3.914 0.000 0.000 0.000 7.828" Properties=species:S:1:pos:R:3 pbc="T T T"
Ni 0.000 0.000 3.914
Pd 1.957 1.957 0.000
Pd 1.957 1.957 3.914
Pd 1.957 0.000 2.017
Pd 1.957 0.000 5.811
Pd 0.000 1.957 2.017
Pd 0.000 1.957 5.811
Pt 0.000 0.000 0.000
```

Summary:
**E_form**: 3.8 kJ/mol of formula units
**Polymorph energy (0 for the lowest one)**: 0.0 kJ per mole of atoms
**Symmetry**: P4/mmm, No. 123
**Fermi-level density of states**: 1.79 states/eV per atom

No. 2
CrRhN2: optimized geometry, PBE.

extended XYZ file:
```
4
Lattice="1.578 0.000 6.252 -0.789 1.367 6.252 -0.789 -1.367 6.252" Properties=species:S:1:pos:R:3 pbc="T T T"
Cr 0.000 0.000 9.379
Rh 0.000 0.000 0.000
N 0.000 0.000 16.788
N 0.000 0.000 1.969
```

Summary:
**Polymorph energy (0 for the lowest one)**: 9.1 kJ per mole of atoms
**Formation energy (no corrections)**: 25 meV per atom
**Symmetry**: R-3m, No. 166
**Fermi-level density of states**: 0.72 states/eV per atom

No. 3
ZnCoSb: optimized geometry, PBE.

extended XYZ file:
```
3
Lattice="6.579 0.031 -0.033 5.883 2.944 -0.024 0.696 0.156 2.909" Properties=species:S:1:pos:R:3 pbc="T T T"
Co 0.759 0.171 2.893
Sb 5.111 1.214 1.796
Zn 7.984 1.902 1.072
```

Summary:
**Formation energy (no corrections)**: 139 meV per atom
**Symmetry**: I4mm, No. 107
**Fermi-level density of states**: 0.52 states/eV per atom

No. 4
AgPd4Au6: optimized geometry, PBE.

extended XYZ file:
```
11
Lattice="-6.724 -0.748 4.339 4.526 -4.091 -5.233 7.974 -0.748 0.686" Properties=species:S:1:pos:R:3 pbc="T T T"
Ag 0.000 0.000 0.000
Pd 3.104 -2.636 -3.328
Pd 1.905 -2.034 0.040
Pd 5.218 -0.586 0.301
Pd 8.047 -5.170 -1.767
Au 7.358 -3.734 -4.034
Au 8.663 -2.469 -1.794
Au 4.309 -2.936 -0.851
Au -1.099 -2.420 -0.447
Au -2.056 -1.287 1.925
Au 0.625 -0.748 2.513
```

Summary:
**E_form**: 155.5 kJ/mol of formula units
**Polymorph energy (0 for the lowest one)**: 0.0 kJ per mole of atoms
**Symmetry**: I-42m, No. 121
**Fermi-level density of states**: 0.42 states/eV per atom

No. 5
Y6In3Ir: optimized geometry, PBE.

extended XYZ file:
```
20
Lattice="-3.503 -2.530 -2.867 6.150 -1.081 -6.560 3.360 -10.111 4.816" Properties=species:S:1:pos:R:3 pbc="T T T"
Y 2.295 -10.721 1.968
Y 1.406 -7.423 0.143
Y 2.116 -4.458 -3.340
Y 3.891 -9.264 -1.272
Y 4.601 -6.300 -4.755
Y 3.712 -3.001 -6.579
Y 0.020 -7.134 -3.107
Y -1.309 -3.758 -4.462
Y -0.840 -10.272 0.712
Y 6.847 -3.450 -5.323
Y 7.316 -9.964 -0.149
Y 5.987 -6.588 -1.504
In 5.895 -9.474 -3.532
In 1.323 -1.806 -4.714
In 0.111 -4.248 -1.079
In 1.242 -5.469 -6.070
In 1.680 -5.055 2.408
In 4.765 -8.253 1.458
Ir 3.003 -6.861 -2.306
Ir 0.000 0.000 0.000
```

Summary:
**E_form**: -446.1 kJ/mol of formula units
**Symmetry**: Pnnm, No. 58
**Fermi-level density of states**: 0.81 states/eV per atom

No. 6
NdH7Ru2: optimized geometry, PBE.

extended XYZ file:
```
10
Lattice="3.620 0.000 0.000 0.000 5.158 0.047 0.000 -2.234 4.650" Properties=species:S:1:pos:R:3 pbc="T T T"
Nd 0.000 0.000 0.000
H 0.000 2.929 1.435
H 0.000 -0.004 3.262
H 1.810 -0.456 1.553
H 1.810 3.380 3.144
H 1.810 1.594 0.276
H 1.810 1.330 4.421
H 1.810 1.462 2.348
Ru 1.810 2.917 1.443
Ru 1.810 0.008 3.254
```

Summary:
**Symmetry**: Cmmm, No. 65
**Fermi-level density of states**: 0.45 states/eV per atom
**Raw total energy**: -4.871 eV/atom